(1)
## LaCdInTe3 (PBE)

Data for crystalline LaCdInTe3 at its relaxed geometry.

Computed properties:
Magnetization, μB per formula unit: 0.0
Calculated total energy, eV per formula unit: -22.86

POSCAR file:
```
LaCdInTe3
1.0
8.788 0.000 0.000
0.000 4.611 0.000
-2.762 0.000 10.816
Cd In La Te
2 2 2 6
direct
0.078 0.250 0.110 Cd
0.922 0.750 0.890 Cd
0.740 0.750 0.214 In
0.260 0.250 0.786 In
0.300 0.750 0.362 La
0.700 0.250 0.638 La
0.247 0.750 0.051 Te
0.551 0.250 0.345 Te
0.041 0.250 0.354 Te
0.959 0.750 0.646 Te
0.449 0.750 0.655 Te
0.753 0.250 0.949 Te
```

=====

(2)
## Rb2AgO4 (PBE)

Data for crystalline Rb2AgO4 at its relaxed geometry.

Computed properties:
Calculated total energy, eV per formula unit: -24.63

POSCAR file:
```
Rb2AgO4
1.0
-7.027 -1.909 -0.705
4.653 -1.075 -5.542
0.510 -4.088 6.046
Ag O Rb
2 8 4
direct
0.000 0.000 0.000 Ag
0.750 0.500 0.250 Ag
0.108 0.215 0.323 O
0.073 0.715 0.358 O
0.642 0.285 0.358 O
0.642 0.715 0.358 O
0.108 0.785 0.892 O
0.108 0.215 0.892 O
0.677 0.785 0.892 O
0.642 0.285 0.927 O
0.375 0.750 0.125 Rb
0.375 0.250 0.625 Rb
0.375 0.750 0.625 Rb
0.875 0.250 0.625 Rb
```

=====

(3)
## Sn5Mo3Au (PBE)

Data for crystalline Sn5Mo3Au at its relaxed geometry.

Computed properties:
Magnetization, μB per formula unit: 0.0
Calculated total energy, eV per formula unit: -53.86

POSCAR file:
```
Sn5Mo3Au
1.0
5.560 0.000 0.000
-2.780 4.815 0.000
0.000 0.000 7.585
Au Mo Sn
1 3 5
direct
0.000 0.000 0.000 Au
0.500 0.000 0.500 Mo
0.000 0.500 0.500 Mo
0.500 0.500 0.500 Mo
0.667 0.333 0.189 Sn
0.333 0.667 0.189 Sn
0.000 0.000 0.500 Sn
0.667 0.333 0.811 Sn
0.333 0.667 0.811 Sn
```

=====

What is the formula in the first record? LaCdInTe3